one | Tm3Zr3Bi2Pd after structural relaxation, computed with GGA-PBE.

Structure (POSCAR):
```
Tm3Zr3Bi2Pd
1.0
-0.8413 0.0802 8.1869
-4.8083 -4.8591 -4.5836
2.5327 -2.7774 0.2875
Bi Tm Pd Zr
2 3 1 3
direct
0.6667 0.3333 0.5000
0.3333 0.6667 0.5000
0.2514 0.0000 0.5000
0.7486 0.7486 0.5000
0.0000 0.2514 0.5000
0.0000 0.0000 0.0000
0.4014 0.4014 0.0000
0.0000 0.5986 0.0000
0.5986 0.0000 0.0000
```

Results
V	24.57	A^3/atom
spin magnetization	0.002	μB per atom
mass density	9.80	g cm⁻³
SG	P-62m

---

two | Tm3Zr3Bi2Pd after structural relaxation, computed with GGA-PBE.

Structure (POSCAR):
```
Tm3Zr3Bi2Pd
1.0
8.0915 0.0000 0.0000
-4.0458 7.0075 0.0000
0.0000 0.0000 3.9938
Zr Pd Bi Tm
3 1 2 3
direct
0.2379 0.0000 0.5000
0.7621 0.7621 0.5000
0.0000 0.2379 0.5000
0.0000 0.0000 0.0000
0.6667 0.3333 0.5000
0.3333 0.6667 0.5000
0.6066 0.0000 0.0000
0.0000 0.6066 0.0000
0.3934 0.3934 0.0000
```

Results
V	25.16	A^3/atom
spin magnetization	0.030	μB per atom
mass density	9.57	g cm⁻³
SG	P-62m

---

Most favorable structure: two. The second most favorable one is 0.033 eV/atom above it.

---

one | Zr3Bi4Pd4 after structural relaxation, computed with GGA-PBE.

Structure (POSCAR):
```
Zr3Bi4Pd4
1.0
1.2351 0.5037 6.3533
3.3388 5.4612 -1.0820
-3.0812 6.4172 3.4069
Bi Pd Zr
4 4 3
direct
0.5000 0.0000 0.0000
0.0000 0.5000 0.0000
0.2329 0.2329 0.5342
0.7671 0.7671 0.4658
0.1362 0.6052 0.2586
0.3948 0.3948 0.7414
0.6052 0.1362 0.2586
0.8638 0.8638 0.7414
0.5000 0.5000 0.0000
0.2500 0.7500 0.5000
0.7500 0.2500 0.5000
```

Results
V	24.59	A^3/atom
spin magnetization	0.000	μB per atom
mass density	9.42	g cm⁻³
SG	I-42m

---

two | Zr3Bi4Pd4 after structural relaxation, computed with GGA-PBE.

Structure (POSCAR):
```
Zr3Bi4Pd4
1.0
-5.2728 -4.4386 -1.2869
0.2408 -1.4985 4.1817
-5.0057 5.7446 2.3467
Bi Pd Zr
4 4 3
direct
0.2009 0.2500 0.0576
0.7890 0.7500 0.9175
0.1980 0.7500 0.6128
0.7674 0.2500 0.3886
0.6085 0.2500 0.0624
0.7788 0.7500 0.5824
0.3856 0.7500 0.9286
0.2620 0.2500 0.4117
0.0089 0.7500 0.2487
0.5239 0.2500 0.7057
0.4750 0.7500 0.2812
```

Results
V	22.59	A^3/atom
spin magnetization	0.000	μB per atom
mass density	10.26	g cm⁻³
SG	Pm

---

Most favorable structure: one. The second most favorable one is 0.082 eV/atom above it.

---

one | PmBiW after structural relaxation, computed with GGA-PBE.

Structure (POSCAR):
```
PmBiW
1.0
0.0000 3.4628 3.4628
3.4628 0.0000 3.4628
3.4628 3.4628 0.0000
Bi Pm W
1 1 1
direct
0.0000 0.0000 0.0000
0.2500 0.2500 0.2500
0.7500 0.7500 0.7500
```

Results
V	27.68	A^3/atom
spin magnetization	0.009	μB per atom
mass density	10.75	g cm⁻³
SG	F-43m

---

two | PmBiW after structural relaxation, computed with GGA-PBE.

Structure (POSCAR):
```
PmBiW
1.0
0.4526 3.3243 3.8481
-3.9973 0.9606 3.0270
-0.0059 -1.6654 4.8260
Bi Pm W
1 1 1
direct
0.2500 0.2500 0.2500
0.0000 0.0000 0.0000
0.7500 0.7500 0.7500
```

Results
V	31.36	A^3/atom
spin magnetization	1.146	μB per atom
mass density	9.49	g cm⁻³
SG	F-43m

---

Most favorable structure: one. The second most favorable one is 0.443 eV/atom above it.